The following is a GGA-PBE calculation of a geometry-optimized RbCdSeBr2 structure, from Alexandria.

CIF file:
```
data_RbCdSeBr2
_chemical_formula_sum 'Rb1 Cd1 Se1 Br2'
_cell_length_a 6.492
_cell_length_b 6.492
_cell_length_c 6.549
_cell_angle_alpha 90.00
_cell_angle_beta 90.00
_cell_angle_gamma 90.00
_symmetry_space_group_name_H-M 'P 4/m m m'
_symmetry_Int_Tables_number 123
_symmetry_space_group_name_Hall '-P 4 2'
loop_
_atom_site_label
_atom_site_type_symbol
_atom_site_fract_x
_atom_site_fract_y
_atom_site_fract_z
Rb1 Rb 0.000 0.000 0.000
Cd1 Cd 0.500 0.500 0.500
Se1 Se 0.000 0.000 0.500
Br1 Br 0.000 0.500 0.000
```

Output
For the energy relative to the elements, uncorrected, the calculation gives 0.115 eV per atom. The value obtained for the calculated density is 2.63 g/cm3. For the total energy, the calculation gives -8.1 eV per formula unit. The density of states at the Fermi level is 8.448 states/eV per cell. For the energy above the most stable polymorph in this dataset, the calculation gives 0.901 eV per atom.